Compound: Zr2ScSb
Source: Alexandria
Functional: GGA-PBE
Structure: relaxed

## Properties
Size of the total moment, μB/f.u.: 0.56
E, eV for the cell shown: -28.30
DOS(E_F), states/eV/cell: 5.0
ΔE_f (raw), eV per atom: -0.189

Lattice parameters (Å, degrees): 9.9783 9.9783 9.9783 19.33 19.33 19.33
Fractional coordinates of all 4 atoms:
Zr 0.0000 0.0000 0.0000
Zr 0.2480 0.2480 0.2480
Sc 0.4951 0.4951 0.4951
Sb 0.7467 0.7467 0.7467